## TiNbCd (PBE)

Data for crystalline TiNbCd at its relaxed geometry.

extended XYZ file:
```
3
Lattice="3.027 0.000 0.000 -1.513 2.621 0.000 0.000 0.000 7.272" Properties=species:S:1:pos:R:3 pbc="T T T"
Ti 0.000 0.000 0.000
Nb 1.513 0.874 2.238
Cd 0.000 1.748 4.791
```

Space group: P3m1, No. 156
Crystal system: trigonal
N(E_F) in states/eV/cell: 3.739
ΔE_f in kJ per mole of atoms: 16
Spin magnetization in μB/atom: 0.0000


## KLa2Se3 (PBE)

Data for crystalline KLa2Se3 at its relaxed geometry.

extended XYZ file:
```
12
Lattice="4.366 0.000 0.000 -2.183 3.781 0.000 0.000 0.000 22.716" Properties=species:S:1:pos:R:3 pbc="T T T"
K 0.000 0.000 5.679
K 0.000 0.000 17.037
La 0.000 2.521 1.788
La 0.000 2.521 9.570
La 2.183 1.260 13.146
La 2.183 1.260 20.929
Se 0.000 0.000 0.000
Se 0.000 0.000 11.358
Se 0.000 2.521 14.800
Se 0.000 2.521 19.275
Se 2.183 1.260 3.442
Se 2.183 1.260 7.916
```

Space group: P6_3/mmc, No. 194
Uncorrected formation energy in meV/atom: -1870
Crystal system: hexagonal
N(E_F) in states/eV/cell: 4.449
Spin magnetization in μB/atom: 0.0000


## KCaBr2 (PBE)

Data for crystalline KCaBr2 at its relaxed geometry.

extended XYZ file:
```
4
Lattice="2.187 1.263 10.788 -2.187 1.263 10.788 0.000 -2.525 10.788" Properties=species:S:1:pos:R:3 pbc="T T T"
K 0.000 0.000 0.000
Ca 0.000 0.000 16.182
Br 0.000 0.000 3.861
Br 0.000 0.000 28.502
```

Space group: R-3m, No. 166
Uncorrected formation energy in meV/atom: -1484
Crystal system: trigonal
N(E_F) in states/eV/cell: 1.758
Spin magnetization in μB/atom: 0.0000


## YRhAu (PBE)

Data for crystalline YRhAu at its relaxed geometry.

extended XYZ file:
```
3
Lattice="0.000 3.269 3.269 3.269 0.000 3.269 3.269 3.269 0.000" Properties=species:S:1:pos:R:3 pbc="T T T"
Y 0.000 0.000 0.000
Rh 4.904 4.904 4.904
Au 1.635 1.635 1.635
```

Space group: F-43m, No. 216
Crystal system: cubic
N(E_F) in states/eV/cell: 0.432
ΔE_f in kJ per mole of atoms: -18
Spin magnetization in μB/atom: 0.0000


## ScZn4Pt (PBE)

Data for crystalline ScZn4Pt at its relaxed geometry.

extended XYZ file:
```
6
Lattice="0.000 3.581 3.581 3.581 0.000 3.581 3.581 3.581 0.000" Properties=species:S:1:pos:R:3 pbc="T T T"
Sc 0.000 0.000 0.000
Zn 2.687 2.687 2.687
Zn 4.476 4.476 2.687
Zn 4.476 2.687 4.476
Zn 2.687 4.476 4.476
Pt 5.372 5.372 5.372
```

Space group: F-43m, No. 216
Crystal system: cubic
N(E_F) in states/eV/cell: 5.562
ΔE_f in kJ per mole of atoms: -38
Spin magnetization in μB/atom: 0.0007


## Ho4Pu (PBE)

Data for crystalline Ho4Pu at its relaxed geometry.

extended XYZ file:
```
5
Lattice="5.502 0.000 0.000 0.000 5.502 0.000 0.000 0.000 5.502" Properties=species:S:1:pos:R:3 pbc="T T T"
Ho 0.000 0.000 0.000
Ho 0.000 2.751 2.751
Ho 2.751 0.000 2.751
Ho 2.751 2.751 0.000
Pu 2.751 2.751 2.751
```

Space group: Pm-3m, No. 221
Crystal system: cubic
N(E_F) in states/eV/cell: 3.308
ΔE_f in kJ per mole of atoms: 52
Spin magnetization in μB/atom: 1.3298


## Cu2SnSb2 (PBE)

Data for crystalline Cu2SnSb2 at its relaxed geometry.

extended XYZ file:
```
10
Lattice="8.265 0.000 0.000 0.000 8.265 0.000 0.000 0.000 3.166" Properties=species:S:1:pos:R:3 pbc="T T T"
Cu 0.912 3.221 0.000
Cu 3.221 7.353 0.000
Cu 5.045 0.912 0.000
Cu 7.353 5.045 0.000
Sn 0.000 0.000 1.583
Sn 4.133 4.133 1.583
Sb 1.447 5.580 1.583
Sb 2.686 1.447 1.583
Sb 5.580 6.818 1.583
Sb 6.818 2.686 1.583
```

Space group: P4/mbm, No. 127
Uncorrected formation energy in meV/atom: 232
Crystal system: tetragonal
N(E_F) in states/eV/cell: 5.396
Spin magnetization in μB/atom: 0.0000


## Tm12ThSc2 (PBE)

Data for crystalline Tm12ThSc2 at its relaxed geometry.

extended XYZ file:
```
30
Lattice="6.193 0.000 0.000 0.000 6.193 0.000 0.000 0.000 24.807" Properties=species:S:1:pos:R:3 pbc="T T T"
Tm 0.390 3.486 2.847
Tm 0.390 5.803 21.961
Tm 0.495 3.592 10.907
Tm 0.495 5.698 13.901
Tm 1.548 1.548 5.365
Tm 1.548 1.548 8.421
Tm 1.548 1.548 16.386
Tm 1.548 1.548 19.442
Tm 2.601 3.592 13.901
Tm 2.601 5.698 10.907
Tm 2.707 3.486 21.961
Tm 2.707 5.803 2.847
Tm 3.486 0.390 21.961
Tm 3.486 2.707 2.847
Tm 3.592 0.495 13.901
Tm 3.592 2.601 10.907
Tm 4.645 4.645 5.365
Tm 4.645 4.645 8.421
Tm 4.645 4.645 16.386
Tm 4.645 4.645 19.442
Tm 5.698 0.495 10.907
Tm 5.698 2.601 13.901
Tm 5.803 0.390 2.847
Tm 5.803 2.707 21.961
Th 1.548 4.645 0.000
Th 4.645 1.548 0.000
Sc 1.548 4.645 6.869
Sc 1.548 4.645 17.938
Sc 4.645 1.548 6.869
Sc 4.645 1.548 17.938
```

Space group: P4/nbm, No. 125
Crystal system: tetragonal
N(E_F) in states/eV/cell: 39.173
ΔE_f in kJ per mole of atoms: 37
Spin magnetization in μB/atom: 0.0515